# 1
Here is crystalline Mg5Pt3 at its relaxed geometry from the Alexandria database. Energies are from GGA-PBEsol.

Values from the calculation:
The total energy is -34.58 eV per cell. For the density, the calculation gives 9.0 Mg/m³. Its energy of formation from the pure elements is -0.64 eV per atom.

Cell: 4.3138 5.5733 5.5733 Å, 102.26 90.00 90.00°
Sites, in units of the cell vectors:
Mg 0.0000 0.5000 0.0000
Pt 0.5000 0.2281 0.7719
Mg 0.0000 0.0000 0.0000
Mg 0.5000 0.2797 0.2797
Pt 0.5000 0.7719 0.2281
Mg 0.5000 0.7203 0.7203
Mg 0.0000 0.0000 0.5000
Pt 0.0000 0.5000 0.5000



# 2
Here is crystalline RbGe2Sb2 at its relaxed geometry from the Alexandria database. Energies are from GGA-PBEsol.

Values from the calculation:
The total energy is -20.20 eV per cell. For the density, the calculation gives 5.5 Mg/m³.

Cell: 5.2399 5.2399 6.3761 Å, 114.26 114.26 90.00°
Sites, in units of the cell vectors:
Sb 0.2500 0.7500 0.5000
Sb 0.7500 0.2500 0.5000
Ge 0.3659 0.3659 0.7318
Rb 0.0000 0.0000 0.0000
Ge 0.6341 0.6341 0.2682



Number 1: energy relative to the lowest polymorph listed for this composition 18.2 kJ/mol of formula units, density of states at the Fermi level 2.36 states/eV/cell. Number 2: energy relative to the lowest polymorph listed for this composition 17.3 kJ/mol of formula units, density of states at the Fermi level 2.75 states/eV/cell.